Entry 1:
VASP calculation (PBE-GGA) on a relaxed structure of HoPPbO.

Results
Final energy   -47.92 eV per cell
Space-group type   P4/nmm (129)
E above lowest polymorph   0.39 eV/f.u.

POSCAR file:
```
HoPPbO
1.0
4.2455 0.0000 0.0000
0.0000 4.2455 0.0000
0.0000 0.0000 9.3105
Ho P Pb O
2 2 2 2
Direct
0.2500 0.2500 0.0941 Ho
0.7500 0.7500 0.9059 Ho
0.2500 0.2500 0.7315 P
0.7500 0.7500 0.2685 P
0.2500 0.7500 0.5000 Pb
0.7500 0.2500 0.5000 Pb
0.2500 0.7500 0.0000 O
0.7500 0.2500 0.0000 O
```

Entry 2:
VASP calculation (PBE-GGA) on a relaxed structure of LiNbCuSeS2.

Results
Final energy   -64.19 eV per cell
Space-group type   Cmcm (63)

POSCAR file:
```
LiNbCuSeS2
1.0
1.7314 -6.3331 0.0000
1.7314 6.3331 0.0000
0.0000 0.0000 9.6499
Li Nb Cu Se S
2 2 2 2 4
Direct
0.2162 0.7838 0.7500 Li
0.7838 0.2162 0.2500 Li
0.0000 0.0000 0.0000 Nb
0.0000 0.0000 0.5000 Nb
0.4689 0.5311 0.2500 Cu
0.5311 0.4689 0.7500 Cu
0.1040 0.8960 0.2500 Se
0.8960 0.1040 0.7500 Se
0.3641 0.6359 0.0632 S
0.3641 0.6359 0.4368 S
0.6359 0.3641 0.5632 S
0.6359 0.3641 0.9368 S
```

Entry 3:
VASP calculation (PBE-GGA) on a relaxed structure of Gd3ErC2S2.

Results
Final energy   -55.03 eV per cell
Space-group type   P3m1 (156)

POSCAR file:
```
Gd3ErC2S2
1.0
3.7296 0.0000 0.0000
-1.8648 3.2300 0.0000
0.0000 0.0000 13.0045
Gd Er C S
3 1 2 2
Direct
0.0000 0.0000 0.0000 Gd
0.0000 0.0000 0.2929 Gd
0.3333 0.6667 0.7883 Gd
0.3333 0.6667 0.4995 Er
0.6667 0.3333 0.3979 C
0.6667 0.3333 0.8935 C
0.0000 0.0000 0.6402 S
0.3333 0.6667 0.1456 S
```

Entry 4:
VASP calculation (PBE-GGA) on a relaxed structure of LiTaTeAuSe2.

Results
Final energy   -59.60 eV per cell
Space-group type   Cmcm (63)

POSCAR file:
```
LiTaTeAuSe2
1.0
1.7981 -6.8926 0.0000
1.7981 6.8926 0.0000
0.0000 0.0000 10.3285
Li Ta Te Au Se
2 2 2 2 4
Direct
0.2023 0.7977 0.7500 Li
0.7977 0.2023 0.2500 Li
0.0000 0.0000 0.0000 Ta
0.0000 0.0000 0.5000 Ta
0.1148 0.8852 0.2500 Te
0.8852 0.1148 0.7500 Te
0.4554 0.5446 0.2500 Au
0.5446 0.4554 0.7500 Au
0.3613 0.6387 0.0398 Se
0.3613 0.6387 0.4602 Se
0.6387 0.3613 0.5398 Se
0.6387 0.3613 0.9602 Se
```

Which formula does entry 2 have?
LiNbCuSeS2

The lowest final energy belongs to which entry?
LiNbCuSeS2